*P*
A relaxed structure of MnTl2Si, computed with PBE.

abc: 4.3192 4.3192 9.3374
angles: 90.00 90.00 90.00
Space group I-4m2 (No. 119)
Inequivalent atoms, fractional coordinates:
1 Mn 0.0000 0.0000 0.0000 (multiplicity 2)
2 Tl 0.0000 0.0000 0.5000 (multiplicity 2)
3 Tl 0.0000 0.5000 0.2500 (multiplicity 2)
4 Si 0.0000 0.5000 0.7500 (multiplicity 2)

Its density of states at the Fermi level is 5.2 states/eV/cell.

***

*Q*
A relaxed structure of MnTl2Si, computed with PBE.

abc: 3.0984 4.8962 11.8761
angles: 90.00 90.00 90.00
Space group Imm2 (No. 44)
Inequivalent atoms, fractional coordinates:
1 Mn 0.0000 0.0000 0.0000 (multiplicity 2)
2 Tl 0.0000 0.0000 0.5341 (multiplicity 2)
3 Tl 0.0000 0.5000 0.7385 (multiplicity 2)
4 Si 0.0000 0.5000 0.3376 (multiplicity 2)

Its density of states at the Fermi level is 4.6 states/eV/cell.

***

*R*
A relaxed structure of MnTl2Si, computed with PBE.

abc: 3.4340 3.4340 26.1008
angles: 90.00 90.00 120.00
Space group R-3m (No. 166, hexagonal axes)
Inequivalent atoms, fractional coordinates:
1 Mn 0.0000 0.0000 0.0000 (multiplicity 3)
2 Tl 0.0000 0.0000 0.2503 (multiplicity 6)
3 Si 0.0000 0.0000 0.5000 (multiplicity 3)

Its density of states at the Fermi level is 9.2 states/eV/cell.

***

Stability, highest: *Q*

***

*P*
A relaxed structure of MnTl3Si, computed with PBE.

abc: 5.3409 5.3409 5.3409
angles: 90.00 90.00 90.00
Space group Pm-3m (No. 221)
Inequivalent atoms, fractional coordinates:
1 Mn 0.0000 0.0000 0.0000 (multiplicity 1)
2 Tl 0.0000 0.5000 0.5000 (multiplicity 3)
3 Si 0.5000 0.5000 0.5000 (multiplicity 1)

Its density of states at the Fermi level is 4.3 states/eV/cell.

***

*Q*
A relaxed structure of MnTl3Si, computed with PBE.

abc: 5.1777 5.1777 5.1777
angles: 90.00 90.00 90.00
Space group Pm-3m (No. 221)
Inequivalent atoms, fractional coordinates:
1 Mn 0.0000 0.0000 0.0000 (multiplicity 1)
2 Tl 0.0000 0.0000 0.5000 (multiplicity 3)
3 Si 0.5000 0.5000 0.5000 (multiplicity 1)

Its density of states at the Fermi level is 4.3 states/eV/cell.

***

Stability, highest: *Q*

***

*P*
A relaxed structure of Mn3TlSi, computed with PBE.

abc: 5.0347 5.0347 5.0347
angles: 90.00 90.00 90.00
Space group Pm-3m (No. 221)
Inequivalent atoms, fractional coordinates:
1 Mn 0.0000 0.0000 0.5000 (multiplicity 3)
2 Tl 0.0000 0.0000 0.0000 (multiplicity 1)
3 Si 0.5000 0.5000 0.5000 (multiplicity 1)

Its density of states at the Fermi level is 1.5 states/eV/cell.

***

*Q*
A relaxed structure of Mn3TlSi, computed with PBE.

abc: 4.5421 4.5421 4.5421
angles: 90.00 90.00 90.00
Space group Pm-3m (No. 221)
Inequivalent atoms, fractional coordinates:
1 Mn 0.0000 0.0000 0.5000 (multiplicity 3)
2 Tl 0.5000 0.5000 0.5000 (multiplicity 1)
3 Si 0.0000 0.0000 0.0000 (multiplicity 1)

Its density of states at the Fermi level is 2.5 states/eV/cell.

***

Stability, highest: *Q*

***

*P*
A relaxed structure of MnV2Si2, computed with PBE.

abc: 5.7222 10.2188 4.7623
angles: 90.00 90.00 90.00
Space group Ibam (No. 72)
Inequivalent atoms, fractional coordinates:
1 Mn 0.0000 0.0000 0.2500 (multiplicity 4)
2 V 0.1637 0.4154 0.0000 (multiplicity 8)
3 Si 0.2219 0.1643 0.0000 (multiplicity 8)

Its density of states at the Fermi level is 18.3 states/eV/cell.

***

*Q*
A relaxed structure of MnV2Si2, computed with PBE.

abc: 6.2126 6.2126 3.3541
angles: 90.00 90.00 90.00
Space group P4/mbm (No. 127)
Inequivalent atoms, fractional coordinates:
1 Mn 0.0000 0.0000 0.0000 (multiplicity 2)
2 V 0.1690 0.3310 0.5000 (multiplicity 4)
3 Si 0.1336 0.6336 0.0000 (multiplicity 4)

Its density of states at the Fermi level is 5.3 states/eV/cell.

***

Stability, highest: *Q*

***

*P*
A relaxed structure of Mn4VSi, computed with PBE.

abc: 2.5467 3.9134 6.8477
angles: 90.00 91.53 90.00
Space group P2/m (No. 10)
Inequivalent atoms, fractional coordinates:
1 Mn 0.1674 0.0000 0.1649 (multiplicity 2)
2 Mn 0.2025 0.5000 0.6690 (multiplicity 2)
3 V 0.5000 0.0000 0.5000 (multiplicity 1)
4 Si 0.5000 0.5000 0.0000 (multiplicity 1)

Its density of states at the Fermi level is 7.3 states/eV/cell.

***

*Q*
A relaxed structure of Mn4VSi, computed with PBE.

abc: 6.5293 6.5293 6.5293
angles: 90.00 90.00 90.00
Space group F-43m (No. 216)
Inequivalent atoms, fractional coordinates:
1 Mn 0.1238 0.1238 0.3762 (multiplicity 16)
2 V 0.0000 0.0000 0.0000 (multiplicity 4)
3 Si 0.2500 0.2500 0.7500 (multiplicity 4)

Its density of states at the Fermi level is 30.9 states/eV/cell.

***

Stability, highest: *P*